Computed, not measured: InCoTc3 after structural relaxation at the PBE level of DFT.

Cell lengths 4.443, 4.443, 4.443 Å; angles 90.00, 90.00, 90.00 degrees
Space group Pm-3m (No. 221)
Unique sites:
1 In 0.000 0.000 0.000 [1 per cell]
2 Co 0.500 0.500 0.500 [1 per cell]
3 Tc 0.000 0.500 0.500 [3 per cell]

Computed properties:
DFT total energy in eV/atom: -7.043
Formation enthalpy at 0 K in eV per atom: 1.145
Energy above the lowest structure with this stoichiometry in eV/atom: 0.000
Spin magnetization in Bohr magnetons per cell: 0.00
Calculated volume in Å³/f.u.: 87.7